VASP calculation (PBE-GGA) on crystalline LiTl at its relaxed geometry.

The formation energy comes out at 28.46 kJ per mole of atoms. As for the density of states at the Fermi level: 15.6 states/eV per cell.

Cell: 8.9680 8.9680 8.9680 Å, 90.00 90.00 90.00°
Closest atoms and distances in Å follow each position.
Space group I-43m (No. 217)
Unique sites:
Li 0.2005 0.2005 0.2005 [8 per cell]  1 Tl 2.68
Tl 0.1268 0.1268 0.8732 [8 per cell]  1 Li 2.68

VASP calculation (PBE-GGA) on crystalline TaAs at its relaxed geometry.

The formation energy comes out at 7.84 kJ per mole of atoms. As for the density of states at the Fermi level: 4.9 states/eV per cell.

Cell: 4.4201 4.4201 14.8966 Å, 90.00 90.00 120.00°
Closest atoms and distances in Å follow each position.
Space group P-3m1 (No. 164)
Unique sites:
Ta 0.0000 0.0000 0.0955 [2 per cell]  4 As 2.60, 1 Ta 2.85
Ta 0.3333 0.6667 0.2322 [2 per cell]  4 As 2.55-2.61, 1 Ta 2.81
Ta 0.3333 0.6667 0.4209 [2 per cell]  4 As 2.56-2.60, 1 Ta 2.81
As 0.0000 0.0000 0.2699 [2 per cell]  4 Ta 2.60-2.61
As 0.3333 0.6667 0.0609 [2 per cell]  4 Ta 2.55-2.60
As 0.3333 0.6667 0.5956 [2 per cell]  4 Ta 2.56-2.60